An optimized crystal structure of TaAsP2O, computed with GGA-PBE.

Output
The excess energy over the best structure of this formula in the dataset comes out at 0.00 eV/f.u. For the calculated volume, the calculation gives 94 Å³/cell. The formation energy without anion corrections comes out at -0.312 eV/atom.

a = 4.9646 Å, b = 4.9646 Å, c = 3.8179 Å
α = 90.00°, β = 90.00°, γ = 90.00°
Space group P4/mmm (No. 123)
One atom of each set of equivalent atoms:
Ta  0.0000  0.0000  0.0000 [1 per cell]
As  0.5000  0.5000  0.5000 [1 per cell]
P  0.0000  0.5000  0.0000 [2 per cell]
O  0.0000  0.0000  0.5000 [1 per cell]

An optimized crystal structure of TaAsP2O, computed with GGA-PBE.

Output
The excess energy over the best structure of this formula in the dataset comes out at 3.92 eV/f.u. For the calculated volume, the calculation gives 80 Å³/cell. The formation energy without anion corrections comes out at 0.472 eV/atom.

a = 4.7079 Å, b = 4.7079 Å, c = 3.6140 Å
α = 90.00°, β = 90.00°, γ = 90.00°
Space group P4/mmm (No. 123)
One atom of each set of equivalent atoms:
Ta  0.0000  0.0000  0.0000 [1 per cell]
As  0.5000  0.5000  0.5000 [1 per cell]
P  0.0000  0.5000  0.5000 [2 per cell]
O  0.5000  0.5000  0.0000 [1 per cell]

An optimized crystal structure of TaAsPO2, computed with GGA-PBE.

Output
The excess energy over the best structure of this formula in the dataset comes out at 6.07 eV/f.u. For the calculated volume, the calculation gives 70 Å³/cell. The formation energy without anion corrections comes out at 0.025 eV/atom.

a = 3.7784 Å, b = 3.7784 Å, c = 4.9135 Å
α = 90.00°, β = 90.00°, γ = 90.00°
Space group P4/mmm (No. 123)
One atom of each set of equivalent atoms:
Ta  0.0000  0.0000  0.0000 [1 per cell]
As  0.5000  0.5000  0.5000 [1 per cell]
P  0.5000  0.5000  0.0000 [1 per cell]
O  0.0000  0.5000  0.5000 [2 per cell]

An optimized crystal structure of TcAsP2O, computed with GGA-PBE.

Output
The excess energy over the best structure of this formula in the dataset comes out at 3.31 eV/f.u. For the calculated volume, the calculation gives 80 Å³/cell. The formation energy without anion corrections comes out at 0.689 eV/atom.

a = 4.7422 Å, b = 4.7422 Å, c = 3.5694 Å
α = 90.00°, β = 90.00°, γ = 90.00°
Space group P4/mmm (No. 123)
One atom of each set of equivalent atoms:
Tc  0.0000  0.0000  0.0000 [1 per cell]
As  0.5000  0.5000  0.5000 [1 per cell]
P  0.0000  0.5000  0.5000 [2 per cell]
O  0.5000  0.5000  0.0000 [1 per cell]

An optimized crystal structure of TcAsP2O, computed with GGA-PBE.

Output
The excess energy over the best structure of this formula in the dataset comes out at 0.00 eV/f.u. For the calculated volume, the calculation gives 84 Å³/cell. The formation energy without anion corrections comes out at 0.027 eV/atom.

a = 4.7822 Å, b = 4.7822 Å, c = 3.6800 Å
α = 90.00°, β = 90.00°, γ = 90.00°
Space group P4/mmm (No. 123)
One atom of each set of equivalent atoms:
Tc  0.0000  0.0000  0.0000 [1 per cell]
As  0.5000  0.5000  0.5000 [1 per cell]
P  0.0000  0.5000  0.0000 [2 per cell]
O  0.0000  0.0000  0.5000 [1 per cell]

An optimized crystal structure of TeAsPO2, computed with GGA-PBE.

Output
The excess energy over the best structure of this formula in the dataset comes out at 0.59 eV/f.u. For the calculated volume, the calculation gives 86 Å³/cell. The formation energy without anion corrections comes out at 0.002 eV/atom.

a = 3.9299 Å, b = 3.9299 Å, c = 5.5950 Å
α = 90.00°, β = 90.00°, γ = 90.00°
Space group P4/mmm (No. 123)
One atom of each set of equivalent atoms:
Te  0.0000  0.0000  0.0000 [1 per cell]
As  0.5000  0.5000  0.5000 [1 per cell]
P  0.0000  0.0000  0.5000 [1 per cell]
O  0.0000  0.5000  0.0000 [2 per cell]

An optimized crystal structure of TeAs2PO, computed with GGA-PBE.

Output
For the calculated volume, the calculation gives 112 Å³/cell. The formation energy without anion corrections comes out at 0.664 eV/atom.

a = 5.3611 Å, b = 5.3611 Å, c = 3.9123 Å
α = 90.00°, β = 90.00°, γ = 90.00°
Space group P4/mmm (No. 123)
One atom of each set of equivalent atoms:
Te  0.0000  0.0000  0.0000 [1 per cell]
As  0.0000  0.5000  0.0000 [2 per cell]
P  0.5000  0.5000  0.5000 [1 per cell]
O  0.0000  0.0000  0.5000 [1 per cell]

An optimized crystal structure of TeAsPO2, computed with GGA-PBE.

Output
The excess energy over the best structure of this formula in the dataset comes out at 0.00 eV/f.u. For the calculated volume, the calculation gives 76 Å³/cell. The formation energy without anion corrections comes out at -0.115 eV/atom.

a = 3.8310 Å, b = 3.8310 Å, c = 5.1936 Å
α = 90.00°, β = 90.00°, γ = 90.00°
Space group P4/mmm (No. 123)
One atom of each set of equivalent atoms:
Te  0.0000  0.0000  0.0000 [1 per cell]
As  0.5000  0.5000  0.5000 [1 per cell]
P  0.5000  0.5000  0.0000 [1 per cell]
O  0.0000  0.5000  0.5000 [2 per cell]

An optimized crystal structure of TiAsP2O, computed with GGA-PBE.

Output
The excess energy over the best structure of this formula in the dataset comes out at 0.00 eV/f.u. For the calculated volume, the calculation gives 88 Å³/cell. The formation energy without anion corrections comes out at -0.373 eV/atom.

a = 4.9155 Å, b = 4.9155 Å, c = 3.6499 Å
α = 90.00°, β = 90.00°, γ = 90.00°
Space group P4/mmm (No. 123)
One atom of each set of equivalent atoms:
Ti  0.0000  0.0000  0.0000 [1 per cell]
As  0.5000  0.5000  0.5000 [1 per cell]
P  0.0000  0.5000  0.0000 [2 per cell]
O  0.0000  0.0000  0.5000 [1 per cell]

An optimized crystal structure of TiAsPO2, computed with GGA-PBE.

Output
The excess energy over the best structure of this formula in the dataset comes out at 0.00 eV/f.u. For the calculated volume, the calculation gives 77 Å³/cell. The formation energy without anion corrections comes out at -1.126 eV/atom.

a = 3.7339 Å, b = 3.7339 Å, c = 5.5566 Å
α = 90.00°, β = 90.00°, γ = 90.00°
Space group P4/mmm (No. 123)
One atom of each set of equivalent atoms:
Ti  0.0000  0.0000  0.0000 [1 per cell]
As  0.5000  0.5000  0.5000 [1 per cell]
P  0.0000  0.0000  0.5000 [1 per cell]
O  0.0000  0.5000  0.0000 [2 per cell]

An optimized crystal structure of TiAsPO2, computed with GGA-PBE.

Output
The excess energy over the best structure of this formula in the dataset comes out at 3.56 eV/f.u. For the calculated volume, the calculation gives 70 Å³/cell. The formation energy without anion corrections comes out at -0.414 eV/atom.

a = 3.7610 Å, b = 3.7610 Å, c = 4.9372 Å
α = 90.00°, β = 90.00°, γ = 90.00°
Space group P4/mmm (No. 123)
One atom of each set of equivalent atoms:
Ti  0.0000  0.0000  0.0000 [1 per cell]
As  0.5000  0.5000  0.5000 [1 per cell]
P  0.5000  0.5000  0.0000 [1 per cell]
O  0.0000  0.5000  0.5000 [2 per cell]

An optimized crystal structure of TiAsP2O, computed with GGA-PBE.

Output
The excess energy over the best structure of this formula in the dataset comes out at 2.86 eV/f.u. For the calculated volume, the calculation gives 82 Å³/cell. The formation energy without anion corrections comes out at 0.199 eV/atom.

a = 4.7363 Å, b = 4.7363 Å, c = 3.6537 Å
α = 90.00°, β = 90.00°, γ = 90.00°
Space group P4/mmm (No. 123)
One atom of each set of equivalent atoms:
Ti  0.0000  0.0000  0.0000 [1 per cell]
As  0.5000  0.5000  0.5000 [1 per cell]
P  0.0000  0.5000  0.5000 [2 per cell]
O  0.5000  0.5000  0.0000 [1 per cell]

An optimized crystal structure of TlAs2PO8, computed with GGA-PBE.

Output
For the calculated volume, the calculation gives 352 Å³/cell. The formation energy without anion corrections comes out at -1.258 eV/atom.

a = 7.9760 Å, b = 5.1268 Å, c = 8.6391 Å
α = 90.00°, β = 94.34°, γ = 90.00°
Space group C2/m (No. 12)
One atom of each set of equivalent atoms:
Tl  0.0000  0.0000  0.0000 [2 per cell]
As  0.1349  0.5000  0.3254 [4 per cell]
P  0.0000  0.0000  0.5000 [2 per cell]
O  0.0018  0.2331  0.3549 [8 per cell]
O  0.1820  0.5000  0.1416 [4 per cell]
O  0.2133  0.0000  0.5176 [4 per cell]